No. 1
Here is CoPt3Rh2 after structural relaxation from Alexandria. Energies are from GGA-PBE.

The space group is Pnnm (No. 58) and the conventional cell measures 8.584, 9.168 and 2.664 Å, with angles of 90.00, 90.00 and 90.00 degrees. Symmetry generates all atoms from Co at (0.000, 0.000, 0.000), Pt at (0.000, 0.500, 0.000), Pt at (0.020, 0.238, 0.500) and Rh at (0.244, 0.614, 0.500).

The energy relative to the lowest polymorph listed for this composition comes out at 0.398 eV/atom. The magnetization comes out at 5.8 μB per cell.

---

No. 2
Here is Co10Pt6Rh after structural relaxation from Alexandria. Energies are from GGA-PBE.

The space group is P-31m (No. 162) and the conventional cell measures 7.2594, 7.2594 and 5.0646 Å, with angles of 90.00, 90.00 and 120.00 degrees. Symmetry generates all atoms from Co at (0.0000, 0.2832, 0.1716), Co at (0.3333, 0.6667, 0.0000), Co at (0.3333, 0.6667, 0.5000), Pt at (0.0000, 0.3712, 0.6996) and Rh at (0.0000, 0.0000, 0.5000).

The value obtained for the total energy is -6.637 eV/atom. The magnetization comes out at 22.4 μB per cell.

---

No. 3
Here is Co2PtRh after structural relaxation from Alexandria. Energies are from GGA-PBE.

The space group is Pmm2 (No. 25) and the conventional cell measures 2.680, 3.700 and 5.348 Å, with angles of 90.00, 90.00 and 90.00 degrees. Symmetry generates all atoms from Co at (0.000, 0.000, 0.000), Co at (0.500, 0.500, 0.234), Pt at (0.000, 0.000, 0.481) and Rh at (0.500, 0.500, 0.768).

The value obtained for the total energy is -6.904 eV/atom. The magnetization comes out at 5.0 μB per cell.

---

No. 4
Here is Co10PtRh6 after structural relaxation from Alexandria. Energies are from GGA-PBE.

The space group is P-31m (No. 162) and the conventional cell measures 7.1668, 7.1668 and 5.0495 Å, with angles of 90.00, 90.00 and 120.00 degrees. Symmetry generates all atoms from Co at (0.0000, 0.2950, 0.3311), Co at (0.3333, 0.6667, 0.0000), Co at (0.3333, 0.6667, 0.5000), Pt at (0.0000, 0.0000, 0.0000) and Rh at (0.0000, 0.3629, 0.8064).

The value obtained for the total energy is -6.948 eV/atom. The magnetization comes out at 25.5 μB per cell.

---

No. 5
Here is CoPt2Rh after structural relaxation from Alexandria. Energies are from GGA-PBE.

The space group is C2/m (No. 12) and the conventional cell measures 9.052, 2.742 and 4.719 Å, with angles of 90.00, 100.43 and 90.00 degrees. Symmetry generates all atoms from Co at (0.000, 0.000, 0.000), Pt at (0.246, 0.500, 0.246) and Rh at (0.000, 0.500, 0.500).

The value obtained for the total energy is -6.643 eV/atom. The magnetization comes out at 6.9 μB per cell.

---

No. 6
Here is CoPt2Rh after structural relaxation from Alexandria. Energies are from GGA-PBE.

The space group is I4/mmm (No. 139) and the conventional cell measures 3.844, 3.844 and 7.742 Å, with angles of 90.00, 90.00 and 90.00 degrees. Symmetry generates all atoms from Co at (0.000, 0.000, 0.000), Pt at (0.000, 0.500, 0.250) and Rh at (0.000, 0.000, 0.500).

The value obtained for the total energy is -6.677 eV/atom. The magnetization comes out at 6.1 μB per cell.

---

No. 7
Here is CoPtRh after structural relaxation from Alexandria. Energies are from GGA-PBE.

The space group is Imm2 (No. 44) and the conventional cell measures 2.700, 3.757 and 8.182 Å, with angles of 90.00, 90.00 and 90.00 degrees. Symmetry generates all atoms from Co at (0.000, 0.000, 0.000), Pt at (0.000, 0.000, 0.667) and Rh at (0.000, 0.000, 0.343).

The energy relative to the lowest polymorph listed for this composition comes out at 0.025 eV/atom. The magnetization comes out at 5.3 μB per cell.

---

No. 8
Here is CoPtRh6 after structural relaxation from Alexandria. Energies are from GGA-PBE.

The space group is P4/mmm (No. 123) and the conventional cell measures 3.835, 3.835 and 7.632 Å, with angles of 90.00, 90.00 and 90.00 degrees. Symmetry generates all atoms from Co at (0.000, 0.000, 0.000), Pt at (0.000, 0.000, 0.500), Rh at (0.000, 0.500, 0.242), Rh at (0.500, 0.500, 0.000) and Rh at (0.500, 0.500, 0.500).

The energy relative to the lowest polymorph listed for this composition comes out at 0.003 eV/atom. The magnetization comes out at 2.5 μB per cell.